*1*
First-principles (GGA-PBE) data for a relaxed structure of TlSbSF2, as listed in Alexandria. Values from VASP.

Properties
Its space-group type is P4/mmm (123). The volume is 22.2 A^3/atom.

Cell and atoms, written as Quantum ESPRESSO input:
```
&SYSTEM
  ibrav = 0, nat = 5, ntyp = 4
/
ATOMIC_SPECIES
F 19.00 F.upf
Tl 204.38 Tl.upf
Sb 121.76 Sb.upf
S 32.06 S.upf
CELL_PARAMETERS angstrom
4.562 0.000 0.000
0.000 4.562 0.000
0.000 0.000 5.340
ATOMIC_POSITIONS angstrom
F 0.000 2.281 0.000
F 2.281 0.000 0.000
Tl 2.281 2.281 2.670
Sb 0.000 0.000 0.000
S 0.000 0.000 2.670
```

*2*
First-principles (GGA-PBE) data for a relaxed structure of TlSbSF2, as listed in Alexandria. Values from VASP.

Properties
Its space-group type is P4/mmm (123). The volume is 22.7 A^3/atom.

Cell and atoms, written as Quantum ESPRESSO input:
```
&SYSTEM
  ibrav = 0, nat = 5, ntyp = 4
/
ATOMIC_SPECIES
S 32.06 S.upf
Tl 204.38 Tl.upf
F 19.00 F.upf
Sb 121.76 Sb.upf
CELL_PARAMETERS angstrom
4.248 0.000 0.000
0.000 6.292 0.000
0.000 0.000 4.248
ATOMIC_POSITIONS angstrom
S 2.124 3.146 2.124
Tl 0.000 3.146 0.000
F 0.000 0.000 2.124
F 2.124 0.000 0.000
Sb 0.000 0.000 0.000
```

Most stable: *1*. Least stable: *2*.